No. 1
Pa2BeFe3, optimized geometry, DFT PBE-GGA; energy of formation from the pure elements = -4.9 kcal/mol of atoms; space group = R-3m, No. 166
1.0
2.620 1.513 3.602
-2.620 1.513 3.602
0.000 -3.026 3.602
Pa Be Fe
2 1 3
Cartesian
0.000 0.000 1.461 Pa
0.000 0.000 9.344 Pa
0.000 0.000 5.402 Be
-1.310 -0.756 3.602 Fe
-1.310 0.756 7.203 Fe
0.000 1.513 3.602 Fe



No. 2
PaBe2Fe, optimized geometry, DFT PBE-GGA; relative energy among the computed polymorphs = 0 meV per atom; energy of formation from the pure elements = -4.2 kcal/mol of atoms; space group = Cmcm, No. 63
1.0
1.750 -4.359 0.000
1.750 4.359 0.000
0.000 0.000 7.223
Pa Be Fe
2 4 2
Cartesian
1.750 3.888 5.417 Pa
1.750 -3.888 1.806 Pa
1.750 1.499 3.891 Be
1.750 1.499 6.943 Be
1.750 -1.499 0.280 Be
1.750 -1.499 3.332 Be
1.750 2.589 1.806 Fe
1.750 -2.589 5.417 Fe



No. 3
PaBeFeRh, optimized geometry, DFT PBE-GGA; energy of formation from the pure elements = -3.7 kcal/mol of atoms; space group = F-43m, No. 216
1.0
0.000 3.141 3.141
3.141 0.000 3.141
3.141 3.141 0.000
Pa Be Fe Rh
1 1 1 1
Cartesian
0.000 0.000 0.000 Pa
3.141 3.141 3.141 Be
4.712 4.712 4.712 Fe
1.571 1.571 1.571 Rh



No. 4
PaBeFeRu, optimized geometry, DFT PBE-GGA; energy of formation from the pure elements = -2.5 kcal/mol of atoms; space group = F-43m, No. 216
1.0
0.000 3.113 3.113
3.113 0.000 3.113
3.113 3.113 0.000
Pa Be Fe Ru
1 1 1 1
Cartesian
0.000 0.000 0.000 Pa
3.113 3.113 3.113 Be
4.669 4.669 4.669 Fe
1.556 1.556 1.556 Ru



No. 5
PaBeFeSi2, optimized geometry, DFT PBE-GGA; space group = I-4m2, No. 119; ΔE_f (raw) = -0.501 eV per atom
1.0
-1.955 1.955 4.790
1.955 -1.955 4.790
1.955 1.955 -4.790
Pa Be Fe Si
1 1 1 2
Cartesian
0.000 0.000 0.000 Pa
1.955 0.000 2.395 Be
0.000 1.955 2.395 Fe
0.000 0.000 3.574 Si
0.000 0.000 6.005 Si



No. 6
BeFePb2, optimized geometry, DFT PBE-GGA; energy of formation from the pure elements = 22.5 kcal/mol of atoms; space group = F-43m, No. 216
1.0
0.000 3.522 3.522
3.522 0.000 3.522
3.522 3.522 0.000
Be Fe Pb
1 1 2
Cartesian
0.000 0.000 0.000 Be
1.761 1.761 1.761 Fe
3.522 3.522 3.522 Pb
5.284 5.284 5.284 Pb



No. 7
BeFePb2, optimized geometry, DFT PBE-GGA; energy of formation from the pure elements = 17.6 kcal/mol of atoms; space group = P4/mmm, No. 123
1.0
4.968 0.000 0.000
0.000 4.968 0.000
0.000 0.000 3.263
Be Fe Pb
1 1 2
Cartesian
0.000 0.000 0.000 Be
2.484 2.484 0.000 Fe
0.000 2.484 1.631 Pb
2.484 0.000 1.631 Pb



No. 8
Be2FePb, optimized geometry, DFT PBE-GGA; energy of formation from the pure elements = 10.2 kcal/mol of atoms; space group = C2/m, No. 12
1.0
3.923 -1.681 0.000
3.923 1.681 0.000
-0.988 0.000 4.301
Be Fe Pb
2 1 1
Cartesian
1.565 0.000 0.415 Be
5.293 0.000 3.886 Be
3.923 0.000 0.000 Fe
-0.494 0.000 2.150 Pb



No. 9
BeFe2Pb, optimized geometry, DFT PBE-GGA; relative energy among the computed polymorphs = 165 meV per atom; energy of formation from the pure elements = 11.5 kcal/mol of atoms; space group = Imm2, No. 44
1.0
-1.891 1.932 3.840
1.891 -1.932 3.840
1.891 1.932 -3.840
Be Fe Pb
1 2 1
Cartesian
0.000 0.000 0.000 Be
1.891 0.000 1.854 Fe
0.000 0.000 3.809 Fe
0.000 1.932 1.914 Pb



No. 10
BeFePb2, optimized geometry, DFT PBE-GGA; energy of formation from the pure elements = 16.8 kcal/mol of atoms; space group = P2/m, No. 10
1.0
3.556 0.000 0.000
0.000 3.578 0.000
-0.012 0.000 6.283
Be Fe Pb
1 1 2
Cartesian
0.000 0.000 0.000 Be
-0.006 0.000 3.141 Fe
1.773 1.789 1.565 Pb
1.771 1.789 4.717 Pb



No. 11
Be2FePb, optimized geometry, DFT PBE-GGA; energy of formation from the pure elements = 13.5 kcal/mol of atoms; space group = I4/mmm, No. 139
1.0
-1.842 1.842 3.836
1.842 -1.842 3.836
1.842 1.842 -3.836
Be Fe Pb
2 1 1
Cartesian
1.842 0.000 1.918 Be
0.000 1.842 1.918 Be
0.000 0.000 0.000 Fe
0.000 0.000 3.836 Pb



No. 12
Be2FePb, optimized geometry, DFT PBE-GGA; energy of formation from the pure elements = 11.1 kcal/mol of atoms; space group = R-3m, No. 166
1.0
1.914 1.105 4.827
-1.914 1.105 4.827
0.000 -2.210 4.827
Be Fe Pb
2 1 1
Cartesian
0.000 0.000 2.703 Be
0.000 0.000 11.777 Be
0.000 0.000 7.240 Fe
0.000 0.000 0.000 Pb



No. 13
Be2FePb, optimized geometry, DFT PBE-GGA; energy of formation from the pure elements = 6.8 kcal/mol of atoms; space group = R3m, No. 160
1.0
1.872 1.081 4.580
-1.872 1.081 4.580
0.000 -2.162 4.580
Be Fe Pb
2 1 1
Cartesian
0.000 0.000 0.000 Be
0.000 0.000 4.320 Be
0.000 0.000 9.565 Fe
0.000 0.000 6.876 Pb



No. 14
BeFe2Pb, optimized geometry, DFT PBE-GGA; relative energy among the computed polymorphs = 0 meV per atom; energy of formation from the pure elements = 7.7 kcal/mol of atoms; space group = Cm, No. 8
1.0
3.361 -1.936 0.000
3.361 1.936 0.000
-2.231 0.000 4.593
Be Fe Pb
1 2 1
Cartesian
0.000 0.000 0.000 Be
2.239 0.000 0.323 Fe
2.247 0.000 3.858 Fe
4.479 0.000 2.062 Pb



No. 15
BeFe2Pb, optimized geometry, DFT PBE-GGA; relative energy among the computed polymorphs = 169 meV per atom; energy of formation from the pure elements = 11.6 kcal/mol of atoms; space group = P4/mmm, No. 123
1.0
3.754 0.000 0.000
0.000 3.754 0.000
0.000 0.000 4.048
Be Fe Pb
1 2 1
Cartesian
0.000 0.000 0.000 Be
0.000 1.877 2.024 Fe
1.877 0.000 2.024 Fe
1.877 1.877 0.000 Pb



No. 16
Be2FePb, optimized geometry, DFT PBE-GGA; energy of formation from the pure elements = 11.9 kcal/mol of atoms; space group = P4mm, No. 99
1.0
3.051 0.000 0.000
0.000 3.051 0.000
0.000 0.000 5.846
Be Fe Pb
2 1 1
Cartesian
0.000 0.000 0.000 Be
1.525 1.525 1.091 Be
0.000 0.000 2.037 Fe
1.525 1.525 3.889 Pb



No. 17
BeFePb2, optimized geometry, DFT PBE-GGA; energy of formation from the pure elements = 18.3 kcal/mol of atoms; space group = I4/mmm, No. 139
1.0
-2.271 2.271 3.950
2.271 -2.271 3.950
2.271 2.271 -3.950
Be Fe Pb
1 1 2
Cartesian
0.000 0.000 0.000 Be
0.000 0.000 3.950 Fe
2.271 0.000 1.975 Pb
0.000 2.271 1.975 Pb



No. 18
Be2FePb, optimized geometry, DFT PBE-GGA; energy of formation from the pure elements = 9.0 kcal/mol of atoms; space group = P2/m, No. 10
1.0
2.929 0.000 0.000
0.000 2.894 0.000
-0.066 0.000 6.812
Be Fe Pb
2 1 1
Cartesian
-0.001 0.000 1.003 Be
2.864 0.000 5.810 Be
1.464 1.447 0.000 Fe
1.432 1.447 3.406 Pb



No. 19
Be2FePb, optimized geometry, DFT PBE-GGA; energy of formation from the pure elements = 13.3 kcal/mol of atoms; space group = P4/mmm, No. 123
1.0
3.859 0.000 0.000
0.000 3.859 0.000
0.000 0.000 3.584
Be Fe Pb
2 1 1
Cartesian
0.000 1.930 0.000 Be
1.930 0.000 0.000 Be
0.000 0.000 1.792 Fe
1.930 1.930 1.792 Pb



No. 20
Be3FePb, optimized geometry, DFT PBE-GGA; relative energy among the computed polymorphs = 1083 meV per atom; energy of formation from the pure elements = 40.6 kcal/mol of atoms; space group = Pm-3m, No. 221
1.0
4.586 0.000 0.000
0.000 4.586 0.000
0.000 0.000 4.586
Be Fe Pb
3 1 1
Cartesian
0.000 0.000 2.293 Be
0.000 2.293 0.000 Be
2.293 0.000 0.000 Be
2.293 2.293 2.293 Fe
0.000 0.000 0.000 Pb



No. 21
BeFePb2, optimized geometry, DFT PBE-GGA; energy of formation from the pure elements = 8.4 kcal/mol of atoms; space group = P4mm, No. 99
1.0
3.145 0.000 0.000
0.000 3.145 0.000
0.000 0.000 8.484
Be Fe Pb
1 1 2
Cartesian
0.000 0.000 0.000 Be
1.573 1.573 0.600 Fe
0.000 0.000 2.714 Pb
1.573 1.573 6.278 Pb



No. 22
BeFe2Pb, optimized geometry, DFT PBE-GGA; relative energy among the computed polymorphs = 145 meV per atom; energy of formation from the pure elements = 11.1 kcal/mol of atoms; space group = P2/m, No. 10
1.0
2.961 0.000 0.000
0.000 3.775 0.000
-0.995 0.000 5.370
Be Fe Pb
1 2 1
Cartesian
0.000 0.000 0.000 Be
0.813 1.887 0.936 Fe
1.153 1.887 4.435 Fe
-0.497 0.000 2.685 Pb



No. 23
BeFePb2, optimized geometry, DFT PBE-GGA; energy of formation from the pure elements = 17.9 kcal/mol of atoms; space group = Cmmm, No. 65
1.0
2.007 -2.605 0.000
2.007 2.605 0.000
0.000 0.000 7.832
Be Fe Pb
1 1 2
Cartesian
0.000 0.000 0.000 Be
0.000 0.000 3.916 Fe
2.007 0.000 1.891 Pb
2.007 0.000 5.940 Pb



No. 24
BeFePb2, optimized geometry, DFT PBE-GGA; energy of formation from the pure elements = 10.9 kcal/mol of atoms; space group = Cm, No. 8
1.0
6.642 -1.786 0.000
6.642 1.786 0.000
-0.053 0.000 3.722
Be Fe Pb
1 1 2
Cartesian
0.000 0.000 0.000 Be
7.947 0.000 0.018 Fe
2.358 0.000 1.895 Pb
5.672 0.000 1.847 Pb



No. 25
Be3FePb, optimized geometry, DFT PBE-GGA; relative energy among the computed polymorphs = 0 meV per atom; energy of formation from the pure elements = 15.7 kcal/mol of atoms; space group = Pm-3m, No. 221
1.0
4.153 0.000 0.000
0.000 4.153 0.000
0.000 0.000 4.153
Be Fe Pb
3 1 1
Cartesian
0.000 0.000 2.076 Be
0.000 2.076 0.000 Be
2.076 0.000 0.000 Be
0.000 0.000 0.000 Fe
2.076 2.076 2.076 Pb



No. 26
BeFePb2, optimized geometry, DFT PBE-GGA; energy of formation from the pure elements = 9.6 kcal/mol of atoms; space group = Pm, No. 6
1.0
3.928 0.000 0.000
0.000 3.821 0.000
-1.951 0.000 5.120
Be Fe Pb
1 1 2
Cartesian
0.000 0.000 0.000 Be
1.968 1.910 3.826 Fe
0.003 0.000 2.974 Pb
1.964 1.910 0.818 Pb



No. 27
BeFe2Pb, optimized geometry, DFT PBE-GGA; relative energy among the computed polymorphs = 210 meV per atom; energy of formation from the pure elements = 12.6 kcal/mol of atoms; space group = F-43m, No. 216
1.0
0.000 3.027 3.027
3.027 0.000 3.027
3.027 3.027 0.000
Be Fe Pb
1 2 1
Cartesian
0.000 0.000 0.000 Be
1.513 1.513 1.513 Fe
3.027 3.027 3.027 Fe
4.540 4.540 4.540 Pb



No. 28
BeFePb3, optimized geometry, DFT PBE-GGA; relative energy among the computed polymorphs = 88 meV per atom; energy of formation from the pure elements = 20.0 kcal/mol of atoms; space group = Pm-3m, No. 221
1.0
5.058 0.000 0.000
0.000 5.058 0.000
0.000 0.000 5.058
Be Fe Pb
1 1 3
Cartesian
0.000 0.000 0.000 Be
2.529 2.529 2.529 Fe
0.000 0.000 2.529 Pb
0.000 2.529 0.000 Pb
2.529 0.000 0.000 Pb



No. 29
BeFePb3, optimized geometry, DFT PBE-GGA; relative energy among the computed polymorphs = 0 meV per atom; energy of formation from the pure elements = 17.9 kcal/mol of atoms; space group = Pm-3m, No. 221
1.0
5.067 0.000 0.000
0.000 5.067 0.000
0.000 0.000 5.067
Be Fe Pb
1 1 3
Cartesian
0.000 0.000 0.000 Be
2.534 2.534 2.534 Fe
0.000 2.534 2.534 Pb
2.534 0.000 2.534 Pb
2.534 2.534 0.000 Pb



No. 30
BeFePb2, optimized geometry, DFT PBE-GGA; energy of formation from the pure elements = 16.5 kcal/mol of atoms; space group = R-3m, No. 166
1.0
1.756 1.014 7.573
-1.756 1.014 7.573
0.000 -2.028 7.573
Be Fe Pb
1 1 2
Cartesian
0.000 0.000 0.000 Be
0.000 0.000 11.360 Fe
0.000 0.000 5.751 Pb
0.000 0.000 16.968 Pb



no.,total DFT energy (no corrections) (eV per cell)
1,-49.37
2,-52.28
3,-29.68
4,-31.39
5,-35.04
6,-15.70
7,-16.56
8,-17.86
9,-22.36
10,-16.70
11,-17.29
12,-17.69
13,-18.45
14,-23.02
15,-22.34
16,-17.57
17,-16.44
18,-18.07
19,-17.32
20,-14.54
21,-18.15
22,-22.44
23,-16.51
24,-17.71
25,-19.95
26,-17.94
27,-22.18
28,-18.98
29,-19.42
30,-16.75